(1)
The following is a DFT calculation (PBE) of an optimized crystal structure of InFe2CuGe.

Summary:
Formation energy = 8.080 eV/f.u.
V = 24.243 Å³/atom
Magnetic moment = 6.04 μB/f.u.
Space group = P4/mmm

a b c (Å): 4.874 5.103 4.874
angles (deg): 90.00 90.00 90.00
Each line ends with the local moment (μB).
Atoms (fractional coordinates):
1 Fe 0.000 0.000 0.500  3.12
2 Fe 0.500 0.000 0.000  2.92
3 Cu 0.500 0.500 0.500  0.03
4 In 0.000 0.000 0.000  -0.08
5 Ge 0.000 0.500 0.000  -0.01

***

(2)
The following is a DFT calculation (PBE) of an optimized crystal structure of Ag4SnAu.

Summary:
Formation energy = 0.608 eV/f.u.
V = 19.942 Å³/atom
Energy above the most stable polymorph in this dataset = 97.2 meV per atom
Magnetic moment = 0.00 μB/f.u.
Space group = F-43m

a b c (Å): 5.531 5.531 5.531
angles (deg): 60.00 60.00 60.00
Atoms (fractional coordinates):
1 Ag 0.625 0.625 0.125
2 Ag 0.625 0.125 0.625
3 Ag 0.625 0.625 0.625
4 Ag 0.125 0.625 0.625
5 Au 0.000 0.000 0.000
6 Sn 0.250 0.250 0.250

***

(3)
The following is a DFT calculation (PBE) of an optimized crystal structure of Sm2HoAs3Rh4.

Summary:
Formation energy = -9.681 eV/f.u.
V = 19.308 Å³/atom
Magnetic moment = 0.00 μB/f.u.
Space group = P-4m2

a b c (Å): 4.111 4.111 11.425
angles (deg): 90.00 90.00 90.00
Atoms (fractional coordinates):
1 As 0.500 0.000 0.871
2 As 0.000 0.500 0.129
3 As 0.000 0.000 0.500
4 Sm 0.500 0.000 0.224
5 Sm 0.000 0.500 0.776
6 Rh 0.000 0.000 0.000
7 Rh 0.000 0.500 0.340
8 Rh 0.500 0.000 0.660
9 Rh 0.500 0.500 0.000
10 Ho 0.500 0.500 0.500

***

(4)
The following is a DFT calculation (PBE) of an optimized crystal structure of NaMn2NiCl.

Summary:
V = 23.780 Å³/atom
Raw formation energy = 2.180 eV per formula unit
Magnetic moment = 9.53 μB/f.u.
Space group = P4/mmm

a b c (Å): 4.564 5.708 4.564
angles (deg): 90.00 90.00 90.00
Each line ends with the local moment (μB).
Atoms (fractional coordinates):
1 Na 0.500 0.500 0.500  0.00
2 Mn 0.000 0.000 0.500  4.01
3 Mn 0.500 0.000 0.000  4.03
4 Ni 0.000 0.000 0.000  0.79
5 Cl 0.000 0.500 0.000  0.09

***

(5)
The following is a DFT calculation (PBE) of an optimized crystal structure of Pm4Pa3Te12.

Summary:
V = 41.488 Å³/atom
Raw formation energy = -16.032 eV per formula unit
Magnetic moment = 3.00 μB/f.u.
Space group = Im-3

a b c (Å): 10.079 10.079 10.079
angles (deg): 109.47 109.47 109.47
Each line ends with the local moment (μB).
Atoms (fractional coordinates):
1 Te 0.677 0.483 0.806  -0.03
2 Te 0.194 0.323 0.517  -0.03
3 Te 0.677 0.871 0.194  -0.03
4 Te 0.517 0.194 0.323  -0.03
5 Te 0.194 0.677 0.871  -0.03
6 Te 0.806 0.323 0.129  -0.03
7 Te 0.806 0.677 0.483  -0.03
8 Te 0.323 0.517 0.194  -0.03
9 Te 0.323 0.129 0.806  -0.03
10 Te 0.483 0.806 0.677  -0.03
11 Te 0.871 0.194 0.677  -0.03
12 Te 0.129 0.806 0.323  -0.03
13 Pm 0.000 0.500 0.000  0.00
14 Pm 0.000 0.000 0.500  0.00
15 Pm 0.500 0.000 0.000  0.00
16 Pm 0.500 0.500 0.500  0.00
17 Pa 0.500 0.500 0.000  1.12
18 Pa 0.500 0.000 0.500  1.12
19 Pa 0.000 0.500 0.500  1.12

***

(6)
The following is a DFT calculation (PBE) of an optimized crystal structure of Ce2AlPd.

Summary:
Formation energy = -1.849 eV/f.u.
V = 21.294 Å³/atom
Energy above the most stable polymorph in this dataset = 10.8 meV per atom
Magnetic moment = 0.00 μB/f.u.
Space group = P4/mmm

a b c (Å): 4.573 4.316 4.316
angles (deg): 90.00 90.00 90.00
Atoms (fractional coordinates):
1 Ce 0.000 0.500 0.000
2 Ce 0.000 0.000 0.500
3 Pd 0.500 0.000 0.000
4 Al 0.500 0.500 0.500

***

(7)
The following is a DFT calculation (PBE) of an optimized crystal structure of Ti2AlB2.

Summary:
Formation energy = 0.863 eV/f.u.
V = 12.344 Å³/atom
Magnetic moment = 0.00 μB/f.u.
Space group = P4/mbm

a b c (Å): 6.726 6.726 2.729
angles (deg): 90.00 90.00 90.00
Atoms (fractional coordinates):
1 B 0.673 0.827 0.500
2 B 0.327 0.173 0.500
3 B 0.827 0.327 0.500
4 B 0.173 0.673 0.500
5 Al 0.000 0.000 0.000
6 Al 0.500 0.500 0.000
7 Ti 0.367 0.867 0.000
8 Ti 0.867 0.633 0.000
9 Ti 0.133 0.367 0.000
10 Ti 0.633 0.133 0.000

***

(8)
The following is a DFT calculation (PBE) of an optimized crystal structure of LaCuGe2.

Summary:
Formation energy = -2.281 eV/f.u.
V = 20.447 Å³/atom
Magnetic moment = 0.00 μB/f.u.
Space group = Immm

a b c (Å): 4.419 8.708 9.804
angles (deg): 116.37 103.03 90.00
Atoms (fractional coordinates):
1 Ge 0.926 0.426 0.851
2 Ge 0.688 0.338 0.376
3 Ge 0.076 0.076 0.152
4 Ge 0.312 0.962 0.624
5 Ge 0.074 0.574 0.149
6 Ge 0.688 0.038 0.376
7 Ge 0.312 0.662 0.624
8 Ge 0.924 0.924 0.848
9 La 0.295 0.295 0.590
10 La 0.705 0.705 0.410
11 La 0.500 0.744 0.000
12 La 0.500 0.256 0.000
13 Cu 0.146 0.397 0.292
14 Cu 0.146 0.895 0.292
15 Cu 0.854 0.105 0.708
16 Cu 0.854 0.603 0.708

***

Among the records above, which one has the highest V? Pm4Pa3Te12

***

Look up the magnetic moment of the sixth one. 0.00 μB/f.u.

***

What is the formula in the fifth record? Pm4Pa3Te12

***

Which value of V does entry 3 give? 19.308 Å³/atom